1.
Below is a relaxed structure of ErSClO4, with properties calculated at the PBE level.

Summary:
**Uncorrected formation energy**: -207.1 kJ per mole of atoms
**Crystal system**: monoclinic

Lattice parameters (Å, degrees): 9.6607 6.8904 6.3743 90.00 103.96 90.00
With the nearest neighbours (Å) after each atom.
Space group C2/m (No. 12)
Symmetry-distinct sites (fractional):
Er 0.2258 0.0000 0.1332 (multiplicity 4)  6 O 2.30-2.48
S 0.1365 0.5000 0.2665 (multiplicity 4)  4 O 1.46-1.52
Cl 0.0205 0.0000 0.7618 (multiplicity 4)  2 Er 2.62-2.70
O 0.0177 0.5000 0.7632 (multiplicity 4)  1 S 1.46
O 0.1852 0.3298 0.1504 (multiplicity 8)  1 S 1.52
O 0.2116 0.5000 0.4948 (multiplicity 4)  1 S 1.46

2.
Below is a relaxed structure of Ho2ZnCu, with properties calculated at the PBE level.

Summary:
**Crystal system**: trigonal
**Formation enthalpy at 0 K**: 115 kJ/mol of formula units

Lattice parameters (Å, degrees): 3.3809 3.3809 31.0011 90.00 90.00 120.00
With the nearest neighbours (Å) after each atom.
Space group R-3m (No. 166, hexagonal axes)
Symmetry-distinct sites (fractional):
Ho 0.0000 0.0000 0.0989 (multiplicity 6)  3 Cu 2.87, 1 Zn 3.07
Zn 0.0000 0.0000 0.0000 (multiplicity 3)  2 Ho 3.07, 6 Zn 3.38
Cu 0.0000 0.0000 0.5000 (multiplicity 3)  6 Ho 2.87

3.
Below is a relaxed structure of UTlInS4, with properties calculated at the PBE level.

Summary:
**Uncorrected formation energy**: -76.1 kJ per mole of atoms
**Crystal system**: orthorhombic

Lattice parameters (Å, degrees): 8.2458 9.1876 10.4492 90.00 90.00 90.00
With the nearest neighbours (Å) after each atom.
Space group Imma (No. 74)
Symmetry-distinct sites (fractional):
U 0.2500 0.2500 0.2500 (multiplicity 4)  6 S 2.64-2.67
Tl 0.0000 0.2500 0.6608 (multiplicity 4)  4 S 2.98-3.01
In 0.0000 0.0000 0.0000 (multiplicity 4)  6 S 2.80-2.84
S 0.0000 0.0654 0.2618 (multiplicity 8)  2 U 2.67, 1 In 2.80
S 0.2017 0.2500 0.0007 (multiplicity 8)  1 U 2.64, 2 In 2.84

4.
Below is a relaxed structure of Cs2Hg2PtI4, with properties calculated at the PBE level.

Summary:
**Uncorrected formation energy**: -71.7 kJ per mole of atoms
**Crystal system**: tetragonal

Lattice parameters (Å, degrees): 8.6069 8.6069 10.2987 90.00 90.00 90.00
With the nearest neighbours (Å) after each atom.
Space group I4/mmm (No. 139)
Symmetry-distinct sites (fractional):
Cs 0.0000 0.5000 0.2500 (multiplicity 4)  8 I 4.00, 4 Hg 4.35
Hg 0.0000 0.0000 0.1886 (multiplicity 4)  1 Pt 3.21
Pt 0.0000 0.0000 0.5000 (multiplicity 2)  4 I 2.67
I 0.2192 0.2192 0.5000 (multiplicity 8)  1 Pt 2.67

5.
Below is a relaxed structure of AlTcBi3, with properties calculated at the PBE level.

Summary:
**ΔE to the lowest computed polymorph**: 573 meV per atom
**Crystal system**: cubic
**Formation enthalpy at 0 K**: 603 kJ/mol of formula units

Lattice parameters (Å, degrees): 5.3788 5.3788 5.3788 90.00 90.00 90.00
With the nearest neighbours (Å) after each atom.
Space group Pm-3m (No. 221)
Symmetry-distinct sites (fractional):
Al 0.0000 0.0000 0.0000 (multiplicity 1)  6 Bi 2.69
Tc 0.5000 0.5000 0.5000 (multiplicity 1)  12 Bi 3.80
Bi 0.0000 0.0000 0.5000 (multiplicity 3)  2 Al 2.69

6.
Below is a relaxed structure of K2Tl2NiH4, with properties calculated at the PBE level.

Summary:
**Crystal system**: tetragonal

Lattice parameters (Å, degrees): 6.8713 6.8713 8.1197 90.00 90.00 90.00
With the nearest neighbours (Å) after each atom.
Space group I4/mmm (No. 139)
Symmetry-distinct sites (fractional):
K 0.0000 0.5000 0.2500 (multiplicity 4)  8 H 3.28, 4 Tl 3.48
Tl 0.0000 0.0000 0.1814 (multiplicity 4)  1 Ni 2.59
Ni 0.0000 0.0000 0.5000 (multiplicity 2)  4 H 1.57
H 0.1611 0.1611 0.5000 (multiplicity 8)  1 Ni 1.57

7.
Below is a relaxed structure of Th4ReAg, with properties calculated at the PBE level.

Summary:
**Crystal system**: tetragonal
**Formation enthalpy at 0 K**: -51 kJ/mol of formula units

Lattice parameters (Å, degrees): 7.4068 7.4068 6.0566 90.00 90.00 90.00
With the nearest neighbours (Å) after each atom.
Space group P4/mcc (No. 124)
Symmetry-distinct sites (fractional):
Th 0.1464 0.3209 0.0000 (multiplicity 8)  2 Re 3.02, 2 Ag 3.30
Re 0.0000 0.0000 0.2500 (multiplicity 2)  8 Th 3.02, 2 Re 3.03
Ag 0.5000 0.5000 0.2500 (multiplicity 2)  2 Ag 3.03, 8 Th 3.30

8.
Below is a relaxed structure of Mg4NiSb, with properties calculated at the PBE level.

Summary:
**Uncorrected formation energy**: 24.6 kJ per mole of atoms
**ΔE to the lowest computed polymorph**: 453 meV per atom
**Crystal system**: cubic

Lattice parameters (Å, degrees): 7.9576 7.9576 7.9576 90.00 90.00 90.00
With the nearest neighbours (Å) after each atom.
Space group F-43m (No. 216)
Symmetry-distinct sites (fractional):
Mg 0.1243 0.1243 0.1243 (multiplicity 16)  6 Mg 2.80-2.83
Ni 0.2500 0.2500 0.7500 (multiplicity 4)  12 Mg 3.30, 4 Sb 3.45
Sb 0.0000 0.0000 0.5000 (multiplicity 4)  12 Mg 3.30, 4 Ni 3.45

9.
Below is a relaxed structure of V2Rh2W, with properties calculated at the PBE level.

Summary:
**Crystal system**: tetragonal
**Formation enthalpy at 0 K**: -42 kJ/mol of formula units

Lattice parameters (Å, degrees): 7.2733 7.2733 2.7477 90.00 90.00 90.00
With the nearest neighbours (Å) after each atom.
Space group P4/mbm (No. 127)
Symmetry-distinct sites (fractional):
V 0.1672 0.3328 0.0000 (multiplicity 4)  6 Rh 2.48-2.59, 2 V 2.75
Rh 0.1319 0.6319 0.5000 (multiplicity 4)  6 V 2.48-2.59, 3 Rh 2.71-2.75
W 0.0000 0.0000 0.5000 (multiplicity 2)  2 W 2.75, 4 Rh 2.84, 8 V 3.04

10.
Below is a relaxed structure of CuP2O6, with properties calculated at the PBE level.

Summary:
**Uncorrected formation energy**: -169.5 kJ per mole of atoms
**ΔE to the lowest computed polymorph**: 0 meV per atom
**Crystal system**: monoclinic

Lattice parameters (Å, degrees): 10.9035 11.5009 4.6965 90.00 113.83 90.00
With the nearest neighbours (Å) after each atom.
Space group C2/c (No. 15)
Symmetry-distinct sites (fractional):
Cu 0.0000 0.2120 0.2500 (multiplicity 4)  4 O 1.92-1.93
P 0.2185 0.4221 0.5214 (multiplicity 8)  4 O 1.50-1.62
O 0.1280 0.3228 0.5134 (multiplicity 8)  1 P 1.50
O 0.1327 0.0924 0.3089 (multiplicity 8)  1 P 1.50
O 0.1761 0.4654 0.1689 (multiplicity 8)  2 P 1.61-1.62

11.
Below is a relaxed structure of Y2SnBi, with properties calculated at the PBE level.

Summary:
**ΔE to the lowest computed polymorph**: 92 meV per atom
**Crystal system**: trigonal
**Formation enthalpy at 0 K**: -278 kJ/mol of formula units

Lattice parameters (Å, degrees): 4.3001 4.3001 23.1450 90.00 90.00 120.00
With the nearest neighbours (Å) after each atom.
Space group R-3m (No. 166, hexagonal axes)
Symmetry-distinct sites (fractional):
Y 0.0000 0.0000 0.2498 (multiplicity 6)  3 Bi 3.14, 3 Sn 3.15
Sn 0.0000 0.0000 0.0000 (multiplicity 3)  6 Y 3.15
Bi 0.0000 0.0000 0.5000 (multiplicity 3)  6 Y 3.14

Number 1: calculated total energy -6.49 eV/atom, ρ 4.82 Mg/m³. Number 2: calculated total energy -3.33 eV/atom, ρ 7.45 Mg/m³. Number 3: calculated total energy -5.49 eV/atom, ρ 5.75 Mg/m³. Number 4: calculated total energy -2.36 eV/atom, ρ 5.96 Mg/m³. Number 5: calculated total energy -3.90 eV/atom, ρ 8.02 Mg/m³. Number 6: calculated total energy -2.83 eV/atom, ρ 4.76 Mg/m³. Number 7: calculated total energy -7.58 eV/atom, ρ 12.22 Mg/m³. Number 8: calculated total energy -2.46 eV/atom, ρ 3.66 Mg/m³. Number 9: calculated total energy -9.27 eV/atom, ρ 11.23 Mg/m³. Number 10: calculated total energy -6.72 eV/atom, ρ 2.73 Mg/m³. Number 11: calculated total energy -5.92 eV/atom, ρ 6.79 Mg/m³.